Record 1
# KLiGa2F8, relaxed, DFT PBE-GGA
data_KLiGa2F8
_chemical_formula_sum 'K1 Li1 Ga2 F8'
_space_group_name_H-M_alt 'P 1'
_space_group_IT_number 1
_cell_length_a 5.2226
_cell_length_b 5.2226
_cell_length_c 8.0194
_cell_angle_alpha 71.00
_cell_angle_beta 71.00
_cell_angle_gamma 60.00
loop_
_space_group_symop_operation_xyz
'x,y,z'
loop_
_atom_site_label
_atom_site_fract_x
_atom_site_fract_y
_atom_site_fract_z
_atom_site_occupancy
F1 0.2714 0.9517 0.1553 1
F2 0.6217 0.2714 0.1553 1
F3 0.0483 0.3783 0.8447 1
Ga1 0.2633 0.2633 0.2101 1
F4 0.8184 0.8184 0.5449 1
F5 0.3783 0.7286 0.8447 1
F6 0.1816 0.1816 0.4551 1
F7 0.9517 0.6217 0.1553 1
Ga2 0.7367 0.7367 0.7899 1
K1 0.5000 0.5000 0.5000 1
Li1 0.0000 0.0000 0.0000 1
F8 0.7286 0.0483 0.8447 1
# * theoretical density: 3.2 g/cm3
# * E_tot: -56.2 eV/cell
# * raw formation energy: -2.682 eV/atom
# * symmetry: R-3 (148)
# * V: 14.628 Å³ per atom



Record 2
# Sn12Hg5As3, relaxed, DFT PBE-GGA
data_Sn12Hg5As3
_chemical_formula_sum 'Sn48 Hg20 As12'
_space_group_name_H-M_alt 'P 1'
_space_group_IT_number 1
_cell_length_a 14.9600
_cell_length_b 14.9600
_cell_length_c 14.9600
_cell_angle_alpha 109.47
_cell_angle_beta 109.47
_cell_angle_gamma 109.47
loop_
_space_group_symop_operation_xyz
'x,y,z'
loop_
_atom_site_label
_atom_site_fract_x
_atom_site_fract_y
_atom_site_fract_z
_atom_site_occupancy
Sn1 0.1466 0.7300 0.5709 1
Sn2 0.9165 0.0757 0.6466 1
Sn3 0.7700 0.3409 0.9165 1
Sn4 0.4291 0.7700 0.8534 1
As1 0.8750 0.7500 0.1250 1
Sn5 0.4165 0.1466 0.5757 1
Sn6 0.5835 0.8534 0.4243 1
Hg1 0.0000 0.5000 0.5000 1
As2 0.7500 0.3750 0.1250 1
Hg2 0.5000 0.5000 0.5000 1
Sn7 0.9165 0.8409 0.7700 1
Sn8 0.5709 0.2300 0.1466 1
Sn9 0.8534 0.2700 0.4291 1
Sn10 0.8409 0.9243 0.0709 1
Hg3 0.2500 0.3750 0.6250 1
Sn11 0.3409 0.5709 0.4243 1
Sn12 0.6466 0.0709 0.2300 1
Hg4 0.8750 0.2500 0.6250 1
Sn13 0.7700 0.4291 0.3534 1
Hg5 0.7500 0.6250 0.3750 1
Sn14 0.6466 0.5757 0.9165 1
Sn15 0.4243 0.0709 0.3409 1
Hg6 0.1250 0.7500 0.3750 1
Sn16 0.3409 0.7700 0.4165 1
Sn17 0.4243 0.3534 0.5835 1
As3 0.6250 0.2500 0.3750 1
Sn18 0.6591 0.2300 0.5835 1
Hg7 0.6250 0.8750 0.2500 1
Sn19 0.0835 0.1591 0.2300 1
Hg8 0.5000 0.0000 0.5000 1
As4 0.3750 0.6250 0.2500 1
Hg9 0.2500 0.8750 0.1250 1
Sn20 0.4291 0.6591 0.0757 1
Sn21 0.3534 0.4243 0.0835 1
Sn22 0.4165 0.2700 0.3409 1
Sn23 0.3534 0.9291 0.7700 1
Sn24 0.2300 0.5709 0.6466 1
Sn25 0.5709 0.3409 0.9243 1
Sn26 0.6591 0.4291 0.5757 1
Sn27 0.5835 0.7300 0.6591 1
Hg10 0.0000 0.0000 0.5000 1
Hg11 0.3750 0.2500 0.1250 1
Hg12 0.6250 0.7500 0.8750 1
Hg13 0.3750 0.1250 0.7500 1
As5 0.6250 0.3750 0.7500 1
Sn28 0.0757 0.9165 0.1466 1
Sn29 0.5757 0.6466 0.4165 1
As6 0.1250 0.2500 0.8750 1
As7 0.7500 0.8750 0.6250 1
Hg14 0.1250 0.3750 0.2500 1
As8 0.2500 0.1250 0.3750 1
Sn30 0.8409 0.9165 0.2700 1
Sn31 0.0757 0.1591 0.4291 1
Sn32 0.1591 0.0835 0.7300 1
Sn33 0.5757 0.9291 0.6591 1
As9 0.2500 0.6250 0.8750 1
Hg15 0.5000 0.0000 0.0000 1
Sn34 0.1466 0.4165 0.0757 1
Hg16 0.8750 0.6250 0.7500 1
Hg17 0.7500 0.1250 0.8750 1
Sn35 0.0709 0.4243 0.8409 1
As10 0.3750 0.7500 0.6250 1
Hg18 0.0000 0.5000 0.0000 1
Sn36 0.9243 0.0835 0.8534 1
Sn37 0.2700 0.4165 0.8409 1
Sn38 0.2700 0.8534 0.9291 1
Sn39 0.7300 0.1466 0.0709 1
Sn40 0.2300 0.6591 0.0835 1
As11 0.8750 0.1250 0.2500 1
Sn41 0.9291 0.3534 0.2700 1
Sn42 0.8534 0.5835 0.9243 1
Hg19 0.5000 0.5000 0.0000 1
As12 0.1250 0.8750 0.7500 1
Sn43 0.7300 0.5835 0.1591 1
Sn44 0.9243 0.8409 0.5709 1
Sn45 0.9291 0.5757 0.1591 1
Sn46 0.0835 0.9243 0.3534 1
Sn47 0.1591 0.0757 0.9291 1
Sn48 0.0709 0.6466 0.7300 1
Hg20 0.0000 0.0000 0.0000 1
# * formation enthalpy at 0 K: 0.195 eV per atom
# * theoretical density: 6.8 g/cm3
# * E_tot: -238.4 eV/cell
# * symmetry: Ia-3d (230)
# * V: 32.217 Å³ per atom



Record 3
# La7Dy12In, relaxed, DFT PBE-GGA
data_La7Dy12In
_chemical_formula_sum 'La7 Dy12 In1'
_space_group_name_H-M_alt 'P 1'
_space_group_IT_number 1
_cell_length_a 8.7937
_cell_length_b 8.7937
_cell_length_c 8.7937
_cell_angle_alpha 88.62
_cell_angle_beta 88.62
_cell_angle_gamma 88.62
loop_
_space_group_symop_operation_xyz
'x,y,z'
loop_
_atom_site_label
_atom_site_fract_x
_atom_site_fract_y
_atom_site_fract_z
_atom_site_occupancy
Dy1 0.3364 0.8855 0.0084 1
In1 0.0000 0.0000 0.0000 1
Dy2 0.9916 0.6636 0.1145 1
Dy3 0.3434 0.4574 0.1210 1
Dy4 0.1145 0.9916 0.6636 1
Dy5 0.5426 0.8790 0.6566 1
Dy6 0.8855 0.0084 0.3364 1
La1 0.2125 0.6324 0.7792 1
La2 0.7792 0.2125 0.6324 1
La3 0.6324 0.7792 0.2125 1
Dy7 0.1210 0.3434 0.4574 1
La4 0.7875 0.3676 0.2208 1
La5 0.2208 0.7875 0.3676 1
Dy8 0.6636 0.1145 0.9916 1
La6 0.5000 0.5000 0.5000 1
Dy9 0.4574 0.1210 0.3434 1
Dy10 0.8790 0.6566 0.5426 1
Dy11 0.6566 0.5426 0.8790 1
La7 0.3676 0.2208 0.7875 1
Dy12 0.0084 0.3364 0.8855 1
# * formation enthalpy at 0 K: 0.151 eV per atom
# * theoretical density: 7.4 g/cm3
# * E_tot: -89.4 eV/cell
# * symmetry: R-3 (148)
# * V: 33.971 Å³ per atom



Record 4
# Ac3Ho3TmSe8, relaxed, DFT PBE-GGA
data_Ac3Ho3TmSe8
_chemical_formula_sum 'Ac3 Ho3 Tm1 Se8'
_space_group_name_H-M_alt 'P 1'
_space_group_IT_number 1
_cell_length_a 8.3187
_cell_length_b 8.3187
_cell_length_c 8.6222
_cell_angle_alpha 118.84
_cell_angle_beta 90.00
_cell_angle_gamma 120.00
loop_
_space_group_symop_operation_xyz
'x,y,z'
loop_
_atom_site_label
_atom_site_fract_x
_atom_site_fract_y
_atom_site_fract_z
_atom_site_occupancy
Ac1 0.0000 0.0000 0.0000 1
Ho1 0.5000 0.5000 0.5000 1
Ac2 0.5000 0.5000 0.0000 1
Se1 0.2421 0.4843 0.7226 1
Se2 0.2602 0.5203 0.2805 1
Se3 0.7398 0.4797 0.7195 1
Ho2 0.5000 0.0000 0.5000 1
Se4 0.7383 0.9805 0.7226 1
Tm1 0.0000 0.0000 0.5000 1
Se5 0.7579 0.5157 0.2774 1
Ac3 0.0000 0.5000 0.0000 1
Se6 0.2617 0.0195 0.2774 1
Se7 0.2422 0.9805 0.7226 1
Ho3 0.0000 0.5000 0.5000 1
Se8 0.7578 0.0195 0.2774 1
# * theoretical density: 7.6 g/cm3
# * E_tot: -86.0 eV/cell
# * raw formation energy: -1.841 eV/atom
# * symmetry: R-3m (166)
# * V: 28.609 Å³ per atom



Record 5
# Re4Rh3, relaxed, DFT PBE-GGA
data_Re4Rh3
_chemical_formula_sum 'Re4 Rh3'
_space_group_name_H-M_alt 'P 1'
_space_group_IT_number 1
_cell_length_a 4.9754
_cell_length_b 4.9754
_cell_length_c 4.8641
_cell_angle_alpha 90.00
_cell_angle_beta 90.00
_cell_angle_gamma 120.00
loop_
_space_group_symop_operation_xyz
'x,y,z'
loop_
_atom_site_label
_atom_site_fract_x
_atom_site_fract_y
_atom_site_fract_z
_atom_site_occupancy
Re1 0.6667 0.3333 0.5000 1
Rh1 0.0000 0.5000 0.0000 1
Re2 0.0000 0.0000 0.2604 1
Re3 0.0000 0.0000 0.7396 1
Rh2 0.5000 0.5000 0.0000 1
Re4 0.3333 0.6667 0.5000 1
Rh3 0.5000 0.0000 0.0000 1
# * formation enthalpy at 0 K: 0.289 eV per atom
# * theoretical density: 16.8 g/cm3
# * E_tot: -69.8 eV/cell
# * symmetry: P6/mmm (191)
# * V: 14.897 Å³ per atom



Record 6
# Zr8Al2Cu, relaxed, DFT PBE-GGA
data_Zr8Al2Cu
_chemical_formula_sum 'Zr8 Al2 Cu1'
_space_group_name_H-M_alt 'P 1'
_space_group_IT_number 1
_cell_length_a 4.3780
_cell_length_b 4.3780
_cell_length_c 12.2284
_cell_angle_alpha 90.00
_cell_angle_beta 90.00
_cell_angle_gamma 90.00
loop_
_space_group_symop_operation_xyz
'x,y,z'
loop_
_atom_site_label
_atom_site_fract_x
_atom_site_fract_y
_atom_site_fract_z
_atom_site_occupancy
Zr1 0.5000 0.0000 0.5000 1
Cu1 0.0000 0.0000 0.0000 1
Zr2 0.0000 0.5000 0.5000 1
Zr3 0.0000 0.5000 0.1421 1
Zr4 0.5000 0.0000 0.8579 1
Al1 0.0000 0.0000 0.6838 1
Zr5 0.5000 0.0000 0.1421 1
Al2 0.0000 0.0000 0.3162 1
Zr6 0.0000 0.5000 0.8579 1
Zr7 0.5000 0.5000 0.6805 1
Zr8 0.5000 0.5000 0.3195 1
# * formation enthalpy at 0 K: -0.163 eV per atom
# * theoretical density: 6.0 g/cm3
# * E_tot: -81.8 eV/cell
# * symmetry: P4/mmm (123)
# * V: 21.307 Å³ per atom



Record 7
# Th5Bi2Sb2, relaxed, DFT PBE-GGA
data_Th5Bi2Sb2
_chemical_formula_sum 'Th10 Bi4 Sb4'
_space_group_name_H-M_alt 'P 1'
_space_group_IT_number 1
_cell_length_a 7.7149
_cell_length_b 8.5633
_cell_length_c 10.7630
_cell_angle_alpha 113.44
_cell_angle_beta 111.00
_cell_angle_gamma 90.00
loop_
_space_group_symop_operation_xyz
'x,y,z'
loop_
_atom_site_label
_atom_site_fract_x
_atom_site_fract_y
_atom_site_fract_z
_atom_site_occupancy
Th1 0.0734 0.7656 0.5000 1
Bi1 0.1395 0.6129 0.1825 1
Bi2 0.5431 0.1129 0.1825 1
Sb1 0.7081 0.9360 0.5000 1
Th2 0.4645 0.1986 0.6828 1
Th3 0.2399 0.6521 0.8596 1
Th4 0.7183 0.6986 0.6828 1
Th5 0.9266 0.2656 0.5000 1
Sb2 0.0000 0.9321 0.0000 1
Th6 0.5355 0.5158 0.3172 1
Th7 0.7601 0.7925 0.1404 1
Sb3 0.5000 0.4321 0.0000 1
Th8 0.1197 0.1521 0.8596 1
Sb4 0.2919 0.4360 0.5000 1
Th9 0.8803 0.2925 0.1404 1
Bi3 0.4569 0.9303 0.8175 1
Bi4 0.8605 0.4303 0.8175 1
Th10 0.2817 0.0158 0.3172 1
# * theoretical density: 10.1 g/cm3
# * E_tot: -113.2 eV/cell
# * raw formation energy: -0.387 eV/atom
# * symmetry: Ima2 (46)
# * V: 33.363 Å³ per atom



Record 8
# TlReSb2, relaxed, DFT PBE-GGA
data_TlReSb2
_chemical_formula_sum 'Tl1 Re1 Sb2'
_space_group_name_H-M_alt 'P 1'
_space_group_IT_number 1
_cell_length_a 10.1373
_cell_length_b 10.1373
_cell_length_c 10.1373
_cell_angle_alpha 18.76
_cell_angle_beta 18.76
_cell_angle_gamma 18.76
loop_
_space_group_symop_operation_xyz
'x,y,z'
loop_
_atom_site_label
_atom_site_fract_x
_atom_site_fract_y
_atom_site_fract_z
_atom_site_occupancy
Re1 0.7453 0.7453 0.7453 1
Tl1 0.4888 0.4888 0.4888 1
Sb1 0.0155 0.0155 0.0155 1
Sb2 0.2503 0.2503 0.2503 1
# * theoretical density: 11.2 g/cm3
# * E_tot: -20.8 eV/cell
# * raw formation energy: 0.568 eV/atom
# * symmetry: R3m (160)
# * V: 23.546 Å³ per atom



Repeat the first record exactly.
# KLiGa2F8, relaxed, DFT PBE-GGA
data_KLiGa2F8
_chemical_formula_sum 'K1 Li1 Ga2 F8'
_space_group_name_H-M_alt 'P 1'
_space_group_IT_number 1
_cell_length_a 5.2226
_cell_length_b 5.2226
_cell_length_c 8.0194
_cell_angle_alpha 71.00
_cell_angle_beta 71.00
_cell_angle_gamma 60.00
loop_
_space_group_symop_operation_xyz
'x,y,z'
loop_
_atom_site_label
_atom_site_fract_x
_atom_site_fract_y
_atom_site_fract_z
_atom_site_occupancy
F1 0.2714 0.9517 0.1553 1
F2 0.6217 0.2714 0.1553 1
F3 0.0483 0.3783 0.8447 1
Ga1 0.2633 0.2633 0.2101 1
F4 0.8184 0.8184 0.5449 1
F5 0.3783 0.7286 0.8447 1
F6 0.1816 0.1816 0.4551 1
F7 0.9517 0.6217 0.1553 1
Ga2 0.7367 0.7367 0.7899 1
K1 0.5000 0.5000 0.5000 1
Li1 0.0000 0.0000 0.0000 1
F8 0.7286 0.0483 0.8447 1
# * theoretical density: 3.2 g/cm3
# * E_tot: -56.2 eV/cell
# * raw formation energy: -2.682 eV/atom
# * symmetry: R-3 (148)
# * V: 14.628 Å³ per atom



Question: Look up the V of the second one.
Answer: 32.217 Å³ per atom



Please write out number 5 again, unchanged.
# Re4Rh3, relaxed, DFT PBE-GGA
data_Re4Rh3
_chemical_formula_sum 'Re4 Rh3'
_space_group_name_H-M_alt 'P 1'
_space_group_IT_number 1
_cell_length_a 4.9754
_cell_length_b 4.9754
_cell_length_c 4.8641
_cell_angle_alpha 90.00
_cell_angle_beta 90.00
_cell_angle_gamma 120.00
loop_
_space_group_symop_operation_xyz
'x,y,z'
loop_
_atom_site_label
_atom_site_fract_x
_atom_site_fract_y
_atom_site_fract_z
_atom_site_occupancy
Re1 0.6667 0.3333 0.5000 1
Rh1 0.0000 0.5000 0.0000 1
Re2 0.0000 0.0000 0.2604 1
Re3 0.0000 0.0000 0.7396 1
Rh2 0.5000 0.5000 0.0000 1
Re4 0.3333 0.6667 0.5000 1
Rh3 0.5000 0.0000 0.0000 1
# * formation enthalpy at 0 K: 0.289 eV per atom
# * theoretical density: 16.8 g/cm3
# * E_tot: -69.8 eV/cell
# * symmetry: P6/mmm (191)
# * V: 14.897 Å³ per atom



Question: Which of these has the lowest E_tot?
Answer: Sn12Hg5As3